Entry 1:
A plane-wave DFT calculation with PBE-GGA was carried out for LiCa2PaS5 after structural relaxation.

Results
Magnetization   0.000 μB per atom
Formation energy without anion corrections   -15.73 eV/f.u.

Cell and atoms, written as CIF:
```
data_LiCa2PaS5
_space_group_name_H-M_alt 'C m c 21'
_space_group_IT_number 36
_space_group_name_Hall 'C 2c -2'
_cell_length_a 4.062
_cell_length_b 16.168
_cell_length_c 14.214
_cell_angle_alpha 90.00
_cell_angle_beta 90.00
_cell_angle_gamma 90.00
loop_
_atom_site_label
_atom_site_fract_x
_atom_site_fract_y
_atom_site_fract_z
_atom_site_occupancy
Li1 0.000 0.104 0.000 1
Ca1 0.000 0.434 0.977 1
Ca2 0.000 0.449 0.245 1
Pa1 0.000 0.255 0.623 1
S1 0.000 0.005 0.870 1
S2 0.000 0.092 0.614 1
S3 0.000 0.255 0.997 1
S4 0.000 0.260 0.242 1
S5 0.000 0.414 0.600 1
```

Entry 2:
A plane-wave DFT calculation with PBE-GGA was carried out for Li2CaPaS4 after structural relaxation.

Results
Magnetization   0.126 μB per atom
Formation energy without anion corrections   -12.96 eV/f.u.

Cell and atoms, written as CIF:
```
data_Li2CaPaS4
_space_group_name_H-M_alt 'I -4 m 2'
_space_group_IT_number 119
_space_group_name_Hall 'I -4 -2'
_cell_length_a 5.506
_cell_length_b 5.506
_cell_length_c 11.228
_cell_angle_alpha 90.00
_cell_angle_beta 90.00
_cell_angle_gamma 90.00
loop_
_atom_site_label
_atom_site_fract_x
_atom_site_fract_y
_atom_site_fract_z
_atom_site_occupancy
Li1 0.000 0.000 0.000 1
Li2 0.000 0.500 0.250 1
Ca1 0.000 0.500 0.750 1
Pa1 0.000 0.000 0.500 1
S1 0.000 0.000 0.262 1
S2 0.000 0.500 0.002 1
```

Entry 3:
A plane-wave DFT calculation with PBE-GGA was carried out for LiCaPaS4 after structural relaxation.

Results
Magnetization   0.000 μB per atom
Formation energy without anion corrections   -11.76 eV/f.u.

Cell and atoms, written as CIF:
```
data_LiCaPaS4
_space_group_name_H-M_alt 'I m m a'
_space_group_IT_number 74
_space_group_name_Hall '-I 2b 2'
_cell_length_a 7.922
_cell_length_b 8.169
_cell_length_c 11.248
_cell_angle_alpha 90.00
_cell_angle_beta 90.00
_cell_angle_gamma 90.00
loop_
_atom_site_label
_atom_site_fract_x
_atom_site_fract_y
_atom_site_fract_z
_atom_site_occupancy
Li1 0.000 0.250 0.148 1
Ca1 0.250 0.250 0.750 1
Pa1 0.000 0.000 0.500 1
S1 0.000 0.007 0.730 1
S2 0.224 0.250 0.497 1
```

Entry 4:
A plane-wave DFT calculation with PBE-GGA was carried out for Li3Ca2PaS6 after structural relaxation.

Results
Magnetization   0.000 μB per atom
Formation energy without anion corrections   -20.49 eV/f.u.

Cell and atoms, written as CIF:
```
data_Li3Ca2PaS6
_space_group_name_H-M_alt 'C 1 2/m 1'
_space_group_IT_number 12
_space_group_name_Hall '-C 2y'
_cell_length_a 6.861
_cell_length_b 11.953
_cell_length_c 6.549
_cell_angle_alpha 90.00
_cell_angle_beta 110.18
_cell_angle_gamma 90.00
loop_
_atom_site_label
_atom_site_fract_x
_atom_site_fract_y
_atom_site_fract_z
_atom_site_occupancy
Li1 0.000 0.000 0.000 1
Li2 0.000 0.345 0.000 1
Ca1 0.000 0.168 0.500 1
Pa1 0.000 0.500 0.500 1
S1 0.236 0.500 0.253 1
S2 0.240 0.343 0.753 1
```

Entry 5:
A plane-wave DFT calculation with PBE-GGA was carried out for Li3Ca2PaSe6 after structural relaxation.

Results
Magnetization   0.000 μB per atom
Formation energy without anion corrections   -18.75 eV/f.u.

Cell and atoms, written as CIF:
```
data_Li3Ca2PaSe6
_space_group_name_H-M_alt 'C 1 2/m 1'
_space_group_IT_number 12
_space_group_name_Hall '-C 2y'
_cell_length_a 7.150
_cell_length_b 12.427
_cell_length_c 6.875
_cell_angle_alpha 90.00
_cell_angle_beta 110.16
_cell_angle_gamma 90.00
loop_
_atom_site_label
_atom_site_fract_x
_atom_site_fract_y
_atom_site_fract_z
_atom_site_occupancy
Li1 0.000 0.000 0.000 1
Li2 0.000 0.342 0.000 1
Ca1 0.000 0.168 0.500 1
Pa1 0.000 0.500 0.500 1
Se1 0.236 0.500 0.251 1
Se2 0.242 0.342 0.756 1
```

Entry 6:
A plane-wave DFT calculation with PBE-GGA was carried out for LiCa2PaSe4 after structural relaxation.

Results
Magnetization   0.217 μB per atom
Formation energy without anion corrections   -12.83 eV/f.u.

Cell and atoms, written as CIF:
```
data_LiCa2PaSe4
_space_group_name_H-M_alt 'P 1 2/m 1'
_space_group_IT_number 10
_space_group_name_Hall '-P 2y'
_cell_length_a 7.168
_cell_length_b 4.090
_cell_length_c 7.202
_cell_angle_alpha 90.00
_cell_angle_beta 108.65
_cell_angle_gamma 90.00
loop_
_atom_site_label
_atom_site_fract_x
_atom_site_fract_y
_atom_site_fract_z
_atom_site_occupancy
Li1 0.000 0.000 0.000 1
Ca1 0.000 0.500 0.500 1
Ca2 0.500 0.000 0.500 1
Pa1 0.500 0.500 0.000 1
Se1 0.247 0.000 0.755 1
Se2 0.248 0.500 0.240 1
```